[1]
A geometry-optimized YPbI2O structure, computed with PBE.

Values from the calculation:
* symmetry: No. 123
* excess energy over the best structure of this formula in the dataset: 0.00 eV/f.u.
* E_tot: -24.40 eV for the cell shown
* total moment: 0.0960 μB/atom
* formation energy without anion corrections: -1.23 eV/atom
* Fermi-level density of states: 2.719 states/eV/f.u.

a b c (Å): 6.3009 6.3009 4.1784
angles (deg): 90.00 90.00 90.00
Closest atoms and distances in Å follow each position.
Atoms (fractional coordinates):
1 Y 0.0000 0.0000 0.0000  2 O 2.09
2 Pb 0.5000 0.5000 0.5000  8 I 3.78, 2 Pb 4.18
3 I 0.0000 0.5000 0.0000  2 Y 3.15
4 I 0.5000 0.0000 0.0000  2 Y 3.15
5 O 0.0000 0.0000 0.5000  2 Y 2.09

[2]
A geometry-optimized AlSiS2 structure, computed with PBE.

Values from the calculation:
* symmetry: No. 122
* excess energy over the best structure of this formula in the dataset: 0.98 eV/f.u.
* E_tot: -35.92 eV for the cell shown
* total moment: 0.0000 μB/atom
* formation energy without anion corrections: -0.14 eV/atom
* Fermi-level density of states: 3.146 states/eV/f.u.

a b c (Å): 5.8135 5.8135 5.8135
angles (deg): 111.55 111.55 105.39
Closest atoms and distances in Å follow each position.
Atoms (fractional coordinates):
1 Al 0.0000 0.0000 0.0000  4 S 2.34
2 Al 0.7500 0.2500 0.5000  4 S 2.34
3 Si 0.2500 0.7500 0.5000  4 S 2.62
4 Si 0.5000 0.5000 0.0000  4 S 2.62
5 S 0.0922 0.6250 0.9672  2 Al 2.34
6 S 0.3750 0.3422 0.4672  2 Al 2.34
7 S 0.6578 0.1250 0.0328  2 Al 2.34
8 S 0.8750 0.9078 0.5328  2 Al 2.34

Q: E_tot of number 1 (YPbI2O)?
A: -24.40 eV for the cell shown

Q: What is the E_tot in the second record?
A: -35.92 eV for the cell shown